1.
The following is a DFT calculation (PBE) of a geometry-optimized AcSm2Dy5Ho structure.

total energy = -4.305 eV/atom
theoretical density = 8.2 g/cm3
density of states at the Fermi level = 19.284 states/eV/cell

a b c (Å): 9.9417 9.9417 9.9417
angles (deg): 126.95 126.95 78.33
Closest atoms and distances in Å follow each position.
Atoms (fractional coordinates):
Ac 0.2500 0.2500 0.0000  10 Dy 3.68-3.85
Ac 0.7500 0.7500 0.0000  10 Dy 3.68-3.85
Sm 0.1156 0.6156 0.7312  1 Sm 2.90, 2 Dy 3.02
Sm 0.3844 0.1156 0.5000  1 Sm 2.90, 2 Dy 3.02
Sm 0.6156 0.8844 0.5000  1 Sm 2.90, 2 Dy 3.02
Sm 0.8844 0.3844 0.2688  1 Sm 2.90, 2 Dy 3.02
Dy 0.0000 0.0000 0.0000  4 Sm 3.56, 8 Dy 3.78, 2 Ac 3.85
Dy 0.0741 0.1630 0.5000  1 Sm 3.02, 1 Ho 3.16
Dy 0.1630 0.6630 0.0889  1 Sm 3.02, 1 Ho 3.16
Dy 0.3370 0.4259 0.5000  1 Sm 3.02, 1 Ho 3.16
Dy 0.4259 0.9259 0.0889  1 Sm 3.02, 1 Ho 3.16
Dy 0.5000 0.5000 0.0000  4 Sm 3.56, 8 Dy 3.78, 2 Ac 3.85
Dy 0.5741 0.0741 0.9111  1 Sm 3.02, 1 Ho 3.16
Dy 0.6630 0.5741 0.5000  1 Sm 3.02, 1 Ho 3.16
Dy 0.8370 0.3370 0.9111  1 Sm 3.02, 1 Ho 3.16
Dy 0.9259 0.8370 0.5000  1 Sm 3.02, 1 Ho 3.16
Ho 0.2500 0.7500 0.5000  4 Dy 3.16
Ho 0.7500 0.2500 0.5000  4 Dy 3.16


2.
The following is a DFT calculation (PBE) of a geometry-optimized AcSmDy2Ho4 structure.

total energy = -4.500 eV/atom
theoretical density = 8.6 g/cm3
density of states at the Fermi level = 11.590 states/eV/cell

a b c (Å): 5.0930 5.1240 10.1184
angles (deg): 90.00 90.00 90.00
Closest atoms and distances in Å follow each position.
Atoms (fractional coordinates):
Ac 0.0000 0.0000 0.0000  4 Dy 3.61, 8 Ho 3.65
Sm 0.5000 0.5000 0.5000  8 Ho 3.54-3.55, 4 Dy 3.61
Dy 0.0000 0.0000 0.5000  8 Ho 3.53-3.55, 4 Sm 3.61
Dy 0.5000 0.5000 0.0000  4 Ac 3.61, 8 Ho 3.64-3.66
Ho 0.0000 0.5000 0.2569  2 Sm 3.54, 4 Dy 3.55-3.64, 4 Ho 3.61, 2 Ac 3.65
Ho 0.0000 0.5000 0.7431  2 Sm 3.54, 4 Dy 3.55-3.64, 4 Ho 3.61, 2 Ac 3.65
Ho 0.5000 0.0000 0.2577  4 Dy 3.53-3.66, 2 Sm 3.55, 4 Ho 3.61, 2 Ac 3.65
Ho 0.5000 0.0000 0.7423  4 Dy 3.53-3.66, 2 Sm 3.55, 4 Ho 3.61, 2 Ac 3.65


3.
The following is a DFT calculation (PBE) of a geometry-optimized AcSmDyHo structure.

total energy = -4.282 eV/atom
theoretical density = 8.2 g/cm3
density of states at the Fermi level = 7.973 states/eV/cell

a b c (Å): 3.5264 5.7408 7.0242
angles (deg): 90.00 90.00 90.00
Closest atoms and distances in Å follow each position.
Atoms (fractional coordinates):
Ac 0.0000 0.0000 0.0000  2 Dy 3.39-3.64, 2 Sm 3.49, 2 Ac 3.53
Sm 0.0000 0.5000 0.2834  2 Dy 3.31, 2 Ac 3.49, 2 Sm 3.53, 2 Ho 3.67
Dy 0.0000 0.0000 0.5176  2 Sm 3.31, 2 Ac 3.39-3.64, 2 Dy 3.53
Ho 0.5000 0.5000 0.7409  2 Ho 3.53, 2 Sm 3.67, 4 Dy 3.72, 4 Ac 3.83


no.,M_tot (μB per formula unit),V (A^3/atom)
1,0.0,33.76
2,0.0,33.01
3,0.0,35.55